(1)
# PBE Np2TeH2S, optimized geometry
data_Np2TeH2S
_space_group_name_H-M_alt 'P -3 m 1'
_space_group_IT_number 164
_space_group_name_Hall '-P 3 2"'
_cell_length_a 3.8975
_cell_length_b 3.8975
_cell_length_c 7.8826
_cell_angle_alpha 90.00
_cell_angle_beta 90.00
_cell_angle_gamma 120.00
loop_
_atom_site_label
_atom_site_fract_x
_atom_site_fract_y
_atom_site_fract_z
_atom_site_occupancy
Np1 0.3333 0.6667 0.2198 1
Te1 0.0000 0.0000 0.5000 1
H1 0.3333 0.6667 0.7657 1
S1 0.0000 0.0000 0.0000 1
# Total energy: -44.61 eV for the cell shown
# N(E_F): 2.9264 states/eV per atom
# Calculated density: 10.18 g cm⁻³



(2)
# PBE TaBeS2, optimized geometry
data_TaBeS2
_space_group_name_H-M_alt 'I -4 2 d'
_space_group_IT_number 122
_space_group_name_Hall 'I -4 2bw'
_cell_length_a 5.4122
_cell_length_b 5.4122
_cell_length_c 9.3163
_cell_angle_alpha 90.00
_cell_angle_beta 90.00
_cell_angle_gamma 90.00
loop_
_atom_site_label
_atom_site_fract_x
_atom_site_fract_y
_atom_site_fract_z
_atom_site_occupancy
Ta1 0.0000 0.0000 0.0000 1
Be1 0.0000 0.0000 0.5000 1
S1 0.1959 0.2500 0.6250 1
# Total energy: -101.35 eV for the cell shown
# N(E_F): 0.5192 states/eV per atom
# Calculated density: 6.18 g cm⁻³



(3)
# PBE TmTiGaRh, optimized geometry
data_TmTiGaRh
_space_group_name_H-M_alt 'F -4 3 m'
_space_group_IT_number 216
_space_group_name_Hall 'F -4 2 3'
_cell_length_a 6.6158
_cell_length_b 6.6158
_cell_length_c 6.6158
_cell_angle_alpha 90.00
_cell_angle_beta 90.00
_cell_angle_gamma 90.00
loop_
_atom_site_label
_atom_site_fract_x
_atom_site_fract_y
_atom_site_fract_z
_atom_site_occupancy
Tm1 0.0000 0.0000 0.0000 1
Ti1 0.0000 0.0000 0.5000 1
Ga1 0.2500 0.2500 0.2500 1
Rh1 0.2500 0.2500 0.7500 1
# N(E_F): 0.8698 states/eV per atom
# Calculated density: 8.93 g cm⁻³
# Formation energy from the elements: -0.52 eV/atom



(4)
# PBE HfAu, optimized geometry
data_HfAu
_space_group_name_H-M_alt 'P 63/m'
_space_group_IT_number 176
_space_group_name_Hall '-P 6c'
_cell_length_a 9.7310
_cell_length_b 9.7310
_cell_length_c 3.1972
_cell_angle_alpha 90.00
_cell_angle_beta 90.00
_cell_angle_gamma 120.00
loop_
_atom_site_label
_atom_site_fract_x
_atom_site_fract_y
_atom_site_fract_z
_atom_site_occupancy
Hf1 0.1330 0.5069 0.2500 1
Au1 0.0447 0.7715 0.2500 1
# N(E_F): 0.6943 states/eV per atom
# Calculated density: 14.27 g cm⁻³
# Formation energy from the elements: -0.03 eV/atom



(5)
# PBE BaZrCo, optimized geometry
data_BaZrCo
_space_group_name_H-M_alt 'C 1 2/m 1'
_space_group_IT_number 12
_space_group_name_Hall '-C 2y'
_cell_length_a 13.4852
_cell_length_b 3.3909
_cell_length_c 7.5012
_cell_angle_alpha 90.00
_cell_angle_beta 112.97
_cell_angle_gamma 90.00
loop_
_atom_site_label
_atom_site_fract_x
_atom_site_fract_y
_atom_site_fract_z
_atom_site_occupancy
Ba1 0.1396 0.0000 0.0820 1
Zr1 0.1159 0.0000 0.5241 1
Co1 0.0293 0.5000 0.6861 1
# Relative energy among the computed polymorphs: 214.1 meV per atom
# N(E_F): 0.8807 states/eV per atom
# Calculated density: 6.05 g cm⁻³
# Formation energy from the elements: 0.23 eV/atom



(6)
# PBE Ce2Hg8Pb, optimized geometry
data_Ce2Hg8Pb
_space_group_name_H-M_alt 'C 1 2/m 1'
_space_group_IT_number 12
_space_group_name_Hall '-C 2y'
_cell_length_a 17.9918
_cell_length_b 4.8961
_cell_length_c 7.2613
_cell_angle_alpha 90.00
_cell_angle_beta 111.14
_cell_angle_gamma 90.00
loop_
_atom_site_label
_atom_site_fract_x
_atom_site_fract_y
_atom_site_fract_z
_atom_site_occupancy
Ce1 0.2138 0.0000 0.1960 1
Hg1 0.0257 0.0000 0.2161 1
Hg2 0.1201 0.5000 0.9244 1
Hg3 0.1480 0.5000 0.3743 1
Hg4 0.1565 0.0000 0.6855 1
Pb1 0.0000 0.5000 0.5000 1
# N(E_F): 1.6514 states/eV per atom
# Calculated density: 11.65 g cm⁻³
# Formation energy from the elements: -0.17 eV/atom



(7)
# PBE TaV2ZnN, optimized geometry
data_TaV2ZnN
_space_group_name_H-M_alt 'P 4/m m m'
_space_group_IT_number 123
_space_group_name_Hall '-P 4 2'
_cell_length_a 3.9125
_cell_length_b 3.9125
_cell_length_c 4.2971
_cell_angle_alpha 90.00
_cell_angle_beta 90.00
_cell_angle_gamma 90.00
loop_
_atom_site_label
_atom_site_fract_x
_atom_site_fract_y
_atom_site_fract_z
_atom_site_occupancy
Ta1 0.0000 0.0000 0.0000 1
V1 0.0000 0.5000 0.5000 1
Zn1 0.5000 0.5000 0.0000 1
N1 0.0000 0.0000 0.5000 1
# Total energy: -41.95 eV for the cell shown
# N(E_F): 0.8966 states/eV per atom
# Calculated density: 9.14 g cm⁻³



(8)
# PBE TaFeNi2, optimized geometry
data_TaFeNi2
_space_group_name_H-M_alt 'P m m 2'
_space_group_IT_number 25
_space_group_name_Hall 'P 2 -2'
_cell_length_a 2.6886
_cell_length_b 4.1999
_cell_length_c 4.5422
_cell_angle_alpha 90.00
_cell_angle_beta 90.00
_cell_angle_gamma 90.00
loop_
_atom_site_label
_atom_site_fract_x
_atom_site_fract_y
_atom_site_fract_z
_atom_site_occupancy
Ta1 0.0000 0.0000 0.0000 1
Fe1 0.0000 0.5000 0.6465 1
Ni1 0.5000 0.0000 0.5018 1
Ni2 0.5000 0.5000 0.1761 1
# N(E_F): 0.9391 states/eV per atom
# Calculated density: 11.47 g cm⁻³
# Formation energy from the elements: -0.07 eV/atom



(9)
# PBE CsBa2Na2As2, optimized geometry
data_CsBa2Na2As2
_space_group_name_H-M_alt 'R -3 m'
_space_group_IT_number 166
_space_group_name_Hall '-R 3 2"'
_cell_length_a 5.2258
_cell_length_b 5.2258
_cell_length_c 34.3159
_cell_angle_alpha 90.00
_cell_angle_beta 90.00
_cell_angle_gamma 120.00
loop_
_atom_site_label
_atom_site_fract_x
_atom_site_fract_y
_atom_site_fract_z
_atom_site_occupancy
Cs1 0.0000 0.0000 0.0000 1
Ba1 0.0000 0.0000 0.1301 1
Na1 0.0000 0.0000 0.4087 1
As1 0.0000 0.0000 0.2437 1
# N(E_F): 0.1300 states/eV per atom
# Calculated density: 3.70 g cm⁻³
# Formation energy from the elements: -0.59 eV/atom



(10)
# PBE TmZnRh, optimized geometry
data_TmZnRh
_space_group_name_H-M_alt 'C m c m'
_space_group_IT_number 63
_space_group_name_Hall '-C 2c 2'
_cell_length_a 4.1730
_cell_length_b 9.6800
_cell_length_c 5.4971
_cell_angle_alpha 90.00
_cell_angle_beta 90.00
_cell_angle_gamma 90.00
loop_
_atom_site_label
_atom_site_fract_x
_atom_site_fract_y
_atom_site_fract_z
_atom_site_occupancy
Tm1 0.0000 0.2083 0.2500 1
Zn1 0.0000 0.5000 0.0000 1
Rh1 0.0000 0.0894 0.7500 1
# N(E_F): 0.3463 states/eV per atom
# Calculated density: 10.09 g cm⁻³
# Formation energy from the elements: -0.75 eV/atom



(11)
# PBE SmHoPtAu, optimized geometry
data_SmHoPtAu
_space_group_name_H-M_alt 'F -4 3 m'
_space_group_IT_number 216
_space_group_name_Hall 'F -4 2 3'
_cell_length_a 7.1527
_cell_length_b 7.1527
_cell_length_c 7.1527
_cell_angle_alpha 90.00
_cell_angle_beta 90.00
_cell_angle_gamma 90.00
loop_
_atom_site_label
_atom_site_fract_x
_atom_site_fract_y
_atom_site_fract_z
_atom_site_occupancy
Sm1 0.0000 0.0000 0.0000 1
Ho1 0.0000 0.0000 0.5000 1
Pt1 0.2500 0.2500 0.2500 1
Au1 0.2500 0.2500 0.7500 1
# Relative energy among the computed polymorphs: 55.0 meV per atom
# N(E_F): 0.6414 states/eV per atom
# Calculated density: 12.84 g cm⁻³
# Formation energy from the elements: -1.00 eV/atom



(12)
# PBE AcNdCo3, optimized geometry
data_AcNdCo3
_space_group_name_H-M_alt 'C m c m'
_space_group_IT_number 63
_space_group_name_Hall '-C 2c 2'
_cell_length_a 4.4085
_cell_length_b 23.7559
_cell_length_c 4.0353
_cell_angle_alpha 90.00
_cell_angle_beta 90.00
_cell_angle_gamma 90.00
loop_
_atom_site_label
_atom_site_fract_x
_atom_site_fract_y
_atom_site_fract_z
_atom_site_occupancy
Ac1 0.0000 0.0723 0.2500 1
Nd1 0.0000 0.2072 0.7500 1
Co1 0.0000 0.3314 0.7500 1
Co2 0.0000 0.3767 0.2500 1
Co3 0.0000 0.4758 0.2500 1
# N(E_F): 0.9831 states/eV per atom
# Calculated density: 8.61 g cm⁻³
# Formation energy from the elements: -0.02 eV/atom



(13)
# PBE CaLa2Zn2, optimized geometry
data_CaLa2Zn2
_space_group_name_H-M_alt 'P 4/m b m'
_space_group_IT_number 127
_space_group_name_Hall '-P 4 2ab'
_cell_length_a 9.0090
_cell_length_b 9.0090
_cell_length_c 3.4886
_cell_angle_alpha 90.00
_cell_angle_beta 90.00
_cell_angle_gamma 90.00
loop_
_atom_site_label
_atom_site_fract_x
_atom_site_fract_y
_atom_site_fract_z
_atom_site_occupancy
Ca1 0.0000 0.0000 0.0000 1
La1 0.1226 0.3774 0.0000 1
Zn1 0.1724 0.6724 0.5000 1
# Relative energy among the computed polymorphs: 78.9 meV per atom
# N(E_F): 0.8542 states/eV per atom
# Calculated density: 5.26 g cm⁻³
# Formation energy from the elements: -0.13 eV/atom



(14)
# PBE TiNiTe2I, optimized geometry
data_TiNiTe2I
_space_group_name_H-M_alt 'P 4/m m m'
_space_group_IT_number 123
_space_group_name_Hall '-P 4 2'
_cell_length_a 5.2512
_cell_length_b 5.2512
_cell_length_c 5.7109
_cell_angle_alpha 90.00
_cell_angle_beta 90.00
_cell_angle_gamma 90.00
loop_
_atom_site_label
_atom_site_fract_x
_atom_site_fract_y
_atom_site_fract_z
_atom_site_occupancy
Ti1 0.0000 0.0000 0.0000 1
Ni1 0.5000 0.5000 0.5000 1
Te1 0.0000 0.5000 0.0000 1
I1 0.0000 0.0000 0.5000 1
# Relative energy among the computed polymorphs: 0.0 meV per atom
# N(E_F): 1.8714 states/eV per atom
# Calculated density: 5.15 g cm⁻³



(15)
# PBE La2ReTc, optimized geometry
data_La2ReTc
_space_group_name_H-M_alt 'I m m 2'
_space_group_IT_number 44
_space_group_name_Hall 'I 2 -2'
_cell_length_a 3.6725
_cell_length_b 4.9907
_cell_length_c 11.1645
_cell_angle_alpha 90.00
_cell_angle_beta 90.00
_cell_angle_gamma 90.00
loop_
_atom_site_label
_atom_site_fract_x
_atom_site_fract_y
_atom_site_fract_z
_atom_site_occupancy
La1 0.0000 0.0000 0.0000 1
La2 0.0000 0.5000 0.2130 1
Re1 0.0000 0.5000 0.7880 1
Tc1 0.0000 0.0000 0.4231 1
# Relative energy among the computed polymorphs: 97.1 meV per atom
# N(E_F): 1.0585 states/eV per atom
# Calculated density: 9.12 g cm⁻³
# Formation energy from the elements: 0.24 eV/atom



(16)
# PBE TlTcNi2, optimized geometry
data_TlTcNi2
_space_group_name_H-M_alt 'I m m 2'
_space_group_IT_number 44
_space_group_name_Hall 'I 2 -2'
_cell_length_a 2.8434
_cell_length_b 4.5230
_cell_length_c 9.1118
_cell_angle_alpha 90.00
_cell_angle_beta 90.00
_cell_angle_gamma 90.00
loop_
_atom_site_label
_atom_site_fract_x
_atom_site_fract_y
_atom_site_fract_z
_atom_site_occupancy
Tl1 0.0000 0.0000 0.0000 1
Tc1 0.0000 0.5000 0.7785 1
Ni1 0.0000 0.0000 0.5190 1
Ni2 0.0000 0.5000 0.2444 1
# Relative energy among the computed polymorphs: 111.4 meV per atom
# N(E_F): 1.1570 states/eV per atom
# Calculated density: 11.90 g cm⁻³
# Formation energy from the elements: 0.46 eV/atom



(17)
# PBE YTe2Pt, optimized geometry
data_YTe2Pt
_space_group_name_H-M_alt 'P 4/m m m'
_space_group_IT_number 123
_space_group_name_Hall '-P 4 2'
_cell_length_a 4.9078
_cell_length_b 4.9078
_cell_length_c 3.8469
_cell_angle_alpha 90.00
_cell_angle_beta 90.00
_cell_angle_gamma 90.00
loop_
_atom_site_label
_atom_site_fract_x
_atom_site_fract_y
_atom_site_fract_z
_atom_site_occupancy
Y1 0.0000 0.0000 0.0000 1
Te1 0.0000 0.5000 0.5000 1
Pt1 0.5000 0.5000 0.0000 1
# Relative energy among the computed polymorphs: 233.9 meV per atom
# N(E_F): 0.4820 states/eV per atom
# Calculated density: 9.66 g cm⁻³



(18)
# PBE BaLiCd, optimized geometry
data_BaLiCd
_space_group_name_H-M_alt 'P 1 21/c 1'
_space_group_IT_number 14
_space_group_name_Hall '-P 2ybc'
_cell_length_a 6.7865
_cell_length_b 6.7976
_cell_length_c 9.4062
_cell_angle_alpha 90.00
_cell_angle_beta 113.13
_cell_angle_gamma 90.00
loop_
_atom_site_label
_atom_site_fract_x
_atom_site_fract_y
_atom_site_fract_z
_atom_site_occupancy
Ba1 0.1997 0.1373 0.3720 1
Li1 0.4041 0.6068 0.2996 1
Cd1 0.2222 0.6353 0.5338 1
# Relative energy among the computed polymorphs: 0.0 meV per atom
# N(E_F): 0.7374 states/eV per atom
# Calculated density: 4.27 g cm⁻³
# Formation energy from the elements: -0.20 eV/atom



(19)
# PBE Fe3Sn, optimized geometry
data_Fe3Sn
_space_group_name_H-M_alt 'P m -3 m'
_space_group_IT_number 221
_space_group_name_Hall '-P 4 2 3'
_cell_length_a 3.8121
_cell_length_b 3.8121
_cell_length_c 3.8121
_cell_angle_alpha 90.00
_cell_angle_beta 90.00
_cell_angle_gamma 90.00
loop_
_atom_site_label
_atom_site_fract_x
_atom_site_fract_y
_atom_site_fract_z
_atom_site_occupancy
Fe1 0.0000 0.0000 0.5000 1
Sn1 0.5000 0.5000 0.5000 1
# N(E_F): 0.7057 states/eV per atom
# Calculated density: 8.58 g cm⁻³
# Formation energy from the elements: 0.09 eV/atom



(20)
# PBE Fe2HW, optimized geometry
data_Fe2HW
_space_group_name_H-M_alt 'F m -3 m'
_space_group_IT_number 225
_space_group_name_Hall '-F 4 2 3'
_cell_length_a 5.5921
_cell_length_b 5.5921
_cell_length_c 5.5921
_cell_angle_alpha 90.00
_cell_angle_beta 90.00
_cell_angle_gamma 90.00
loop_
_atom_site_label
_atom_site_fract_x
_atom_site_fract_y
_atom_site_fract_z
_atom_site_occupancy
Fe1 0.2500 0.2500 0.2500 1
H1 0.0000 0.0000 0.0000 1
W1 0.0000 0.0000 0.5000 1
# Relative energy among the computed polymorphs: 532.3 meV per atom
# N(E_F): 1.0352 states/eV per atom
# Calculated density: 11.26 g cm⁻³



(21)
# PBE HSF2, optimized geometry
data_HSF2
_space_group_name_H-M_alt 'F m -3 m'
_space_group_IT_number 225
_space_group_name_Hall '-F 4 2 3'
_cell_length_a 5.5406
_cell_length_b 5.5406
_cell_length_c 5.5406
_cell_angle_alpha 90.00
_cell_angle_beta 90.00
_cell_angle_gamma 90.00
loop_
_atom_site_label
_atom_site_fract_x
_atom_site_fract_y
_atom_site_fract_z
_atom_site_occupancy
H1 0.0000 0.0000 0.0000 1
S1 0.0000 0.0000 0.5000 1
F1 0.2500 0.2500 0.2500 1
# Relative energy among the computed polymorphs: 1083.3 meV per atom
# N(E_F): 0.8334 states/eV per atom
# Calculated density: 2.78 g cm⁻³



(22)
# PBE TaCuHg2, optimized geometry
data_TaCuHg2
_space_group_name_H-M_alt 'P 4/m m m'
_space_group_IT_number 123
_space_group_name_Hall '-P 4 2'
_cell_length_a 4.2290
_cell_length_b 4.2290
_cell_length_c 4.1087
_cell_angle_alpha 90.00
_cell_angle_beta 90.00
_cell_angle_gamma 90.00
loop_
_atom_site_label
_atom_site_fract_x
_atom_site_fract_y
_atom_site_fract_z
_atom_site_occupancy
Ta1 0.0000 0.0000 0.0000 1
Cu1 0.5000 0.5000 0.0000 1
Hg1 0.0000 0.5000 0.5000 1
# N(E_F): 0.9408 states/eV per atom
# Calculated density: 14.59 g cm⁻³
# Formation energy from the elements: 0.47 eV/atom



(23)
# PBE ErZr2Ga, optimized geometry
data_ErZr2Ga
_space_group_name_H-M_alt 'C 1 m 1'
_space_group_IT_number 8
_space_group_name_Hall 'C -2y'
_cell_length_a 5.7295
_cell_length_b 3.3155
_cell_length_c 9.9936
_cell_angle_alpha 90.00
_cell_angle_beta 100.85
_cell_angle_gamma 90.00
loop_
_atom_site_label
_atom_site_fract_x
_atom_site_fract_y
_atom_site_fract_z
_atom_site_occupancy
Er1 0.0000 0.0000 0.0000 1
Zr1 0.0768 0.5000 0.7281 1
Zr2 0.2568 0.5000 0.2741 1
Ga1 0.1660 0.0000 0.5004 1
# Relative energy among the computed polymorphs: 233.3 meV per atom
# N(E_F): 1.1475 states/eV per atom
# Calculated density: 7.47 g cm⁻³
# Formation energy from the elements: -0.07 eV/atom